[1]
Material: CeMg9Ag3
Method: DFT, PBE-GGA
State: relaxed

The density of states at the Fermi level is 24.23 states/eV/cell. As for the total energy: -2.352 eV/atom. The calculation puts the formation energy at -1.7 eV/f.u.

Unit cell a=5.609 b=14.233 c=7.606 alpha=90.00 beta=110.94 gamma=90.00
Space group C2/m (No. 12)
One atom of each set of equivalent atoms:
Ce1 0.000 0.000 0.000 x2
Mg1 0.000 0.000 0.500 x2
Mg2 0.098 0.391 0.210 x8
Mg3 0.171 0.177 0.340 x8
Ag1 0.000 0.500 0.500 x2
Ag2 0.250 0.250 0.000 x4


[2]
Material: SrCa2AgRh
Method: DFT, PBE-GGA
State: relaxed

The density of states at the Fermi level is 3.17 states/eV/cell. The polymorph energy (0 for the lowest one) is 45 meV/atom. As for the total energy: -3.274 eV/atom. The calculation puts the formation energy at -0.5 eV/f.u.

Unit cell a=5.311 b=5.311 c=5.571 alpha=90.00 beta=90.00 gamma=90.00
Space group P4/mmm (No. 123)
One atom of each set of equivalent atoms:
Sr1 0.000 0.000 0.000 x1
Ca1 0.000 0.500 0.500 x2
Ag1 0.500 0.500 0.000 x1
Rh1 0.500 0.500 0.500 x1


Which value of total energy does entry 1 give? -2.352 eV/atom


Which of these has the lowest total energy? SrCa2AgRh


Repeat the first record exactly.
Material: CeMg9Ag3
Method: DFT, PBE-GGA
State: relaxed

The density of states at the Fermi level is 24.23 states/eV/cell. As for the total energy: -2.352 eV/atom. The calculation puts the formation energy at -1.7 eV/f.u.

Unit cell a=5.609 b=14.233 c=7.606 alpha=90.00 beta=110.94 gamma=90.00
Space group C2/m (No. 12)
One atom of each set of equivalent atoms:
Ce1 0.000 0.000 0.000 x2
Mg1 0.000 0.000 0.500 x2
Mg2 0.098 0.391 0.210 x8
Mg3 0.171 0.177 0.340 x8
Ag1 0.000 0.500 0.500 x2
Ag2 0.250 0.250 0.000 x4


total energy of number 1 (CeMg9Ag3)? -2.352 eV/atom